A PBEsol-optimized structure of Y4TlRh, computed with SCAN.

a = 5.961 Å, b = 5.961 Å, c = 5.961 Å
α = 60.00°, β = 60.00°, γ = 60.00°
Fractional coordinates of all 6 atoms:
Tl: 0.000 0.000 0.000
Rh: 0.750 0.750 0.750
Y: 0.873 0.376 0.376
Y: 0.376 0.376 0.873
Y: 0.376 0.873 0.376
Y: 0.376 0.376 0.376

DFT formation energy: 0.42 eV/atom
SG: No. 216
raw total energy: -35.8262 eV/atom
theoretical density: 7.4 Mg/m³


A PBEsol-optimized structure of LaZr2Cr, computed with SCAN.

a = 3.294 Å, b = 5.105 Å, c = 6.061 Å
α = 114.91°, β = 105.77°, γ = 90.00°
Site moments in Bohr magnetons follow the coordinates.
Fractional coordinates of all 4 atoms:
Cr: 0.500 0.000 0.000  2.98
Zr: 0.782 0.782 0.564  -0.13
La: 0.000 0.500 0.000  -0.10
Zr: 0.218 0.218 0.436  -0.13

DFT formation energy: 0.27 eV/atom
SG: No. 71
raw total energy: -30.4544 eV/atom
theoretical density: 7.0 Mg/m³


A PBEsol-optimized structure of Ba2LaSi, computed with SCAN.

a = 3.907 Å, b = 3.907 Å, c = 11.938 Å
α = 80.58°, β = 80.58°, γ = 60.00°
Fractional coordinates of all 4 atoms:
La: 0.500 0.500 0.500
Ba: 0.268 0.268 0.197
Si: 0.000 0.000 0.000
Ba: 0.732 0.732 0.803

SG: No. 166
ΔE_f (raw): 224 meV per atom
raw total energy: -32.8308 eV/atom
theoretical density: 4.7 Mg/m³


A PBEsol-optimized structure of BeNbP2Cl, computed with SCAN.

a = 4.160 Å, b = 4.160 Å, c = 4.515 Å
α = 90.00°, β = 90.00°, γ = 90.00°
Site moments in Bohr magnetons follow the coordinates.
Fractional coordinates of all 5 atoms:
Cl: 0.000 0.000 0.500  -0.07
P: 0.000 0.500 0.000  -0.10
P: 0.500 0.000 0.000  -0.10
Nb: 0.500 0.500 0.500  1.82
Be: 0.000 0.000 0.000  0.04

SG: No. 123
ΔE_f (raw): 458 meV per atom
raw total energy: -12.7936 eV/atom
theoretical density: 4.2 Mg/m³


A PBEsol-optimized structure of Na2Bi2Pd, computed with SCAN.

a = 5.170 Å, b = 7.166 Å, c = 7.166 Å
α = 90.00°, β = 90.00°, γ = 90.00°
Fractional coordinates of all 10 atoms:
Bi: 0.000 0.849 0.651
Bi: 0.000 0.349 0.849
Na: 0.500 0.833 0.333
Na: 0.500 0.667 0.833
Pd: 0.000 0.000 0.000
Na: 0.500 0.167 0.667
Na: 0.500 0.333 0.167
Bi: 0.000 0.151 0.349
Pd: 0.000 0.500 0.500
Bi: 0.000 0.651 0.151

DFT formation energy: -0.35 eV/atom
SG: No. 127
raw total energy: -40.0261 eV/atom
theoretical density: 7.1 Mg/m³


A PBEsol-optimized structure of RbLiF3, computed with SCAN.

a = 4.046 Å, b = 4.046 Å, c = 4.046 Å
α = 90.00°, β = 90.00°, γ = 90.00°
Site moments in Bohr magnetons follow the coordinates.
Fractional coordinates of all 5 atoms:
F: 0.500 0.000 0.500  0.31
Li: 0.500 0.500 0.500  0.00
F: 0.000 0.500 0.500  0.31
F: 0.500 0.500 0.000  0.31
Rb: 0.000 0.000 0.000  0.01

SG: No. 221
ΔE_f (raw): -2345 meV per atom
raw total energy: -9.0950 eV/atom
theoretical density: 3.7 Mg/m³


A PBEsol-optimized structure of NaCaHfPt2, computed with SCAN.

a = 4.938 Å, b = 4.938 Å, c = 5.501 Å
α = 90.00°, β = 90.00°, γ = 90.00°
Fractional coordinates of all 5 atoms:
Hf: 0.000 0.000 0.000
Ca: 0.000 0.000 0.500
Na: 0.500 0.500 0.500
Pt: 0.500 0.000 0.000
Pt: 0.000 0.500 0.000

DFT formation energy: 0.24 eV/atom
SG: No. 123
raw total energy: -43.1500 eV/atom
theoretical density: 7.8 Mg/m³


A PBEsol-optimized structure of AlAsRhBr2, computed with SCAN.

a = 4.793 Å, b = 4.793 Å, c = 4.943 Å
α = 90.00°, β = 90.00°, γ = 90.00°
Site moments in Bohr magnetons follow the coordinates.
Fractional coordinates of all 5 atoms:
Al: 0.000 0.000 0.000  0.01
Rh: 0.500 0.500 0.500  1.53
Br: 0.500 0.000 0.000  -0.05
Br: 0.000 0.500 0.000  -0.05
As: 0.000 0.000 0.500  -0.35

SG: No. 123
ΔE_f (raw): 503 meV per atom
raw total energy: -19.6232 eV/atom
theoretical density: 5.3 Mg/m³


A PBEsol-optimized structure of Sc2TlFe, computed with SCAN.

a = 3.298 Å, b = 4.396 Å, c = 5.630 Å
α = 90.00°, β = 106.99°, γ = 90.00°
Site moments in Bohr magnetons follow the coordinates.
Fractional coordinates of all 4 atoms:
Fe: 0.458 0.500 0.792  2.67
Sc: 0.028 0.000 0.931  -0.37
Tl: 0.304 0.000 0.483  0.00
Sc: 0.710 0.500 0.294  -0.19

DFT formation energy: -0.17 eV/atom
SG: No. 38
raw total energy: -29.9119 eV/atom
theoretical density: 7.4 Mg/m³


A PBEsol-optimized structure of MgBeGa3, computed with SCAN.

a = 4.500 Å, b = 4.500 Å, c = 4.500 Å
α = 90.00°, β = 90.00°, γ = 90.00°
Fractional coordinates of all 5 atoms:
Ga: 0.000 0.500 0.000
Be: 0.000 0.000 0.000
Ga: 0.000 0.000 0.500
Ga: 0.500 0.000 0.000
Mg: 0.500 0.500 0.500

DFT formation energy: 0.25 eV/atom
SG: No. 221
raw total energy: -11.4279 eV/atom
theoretical density: 4.4 Mg/m³


A PBEsol-optimized structure of ScMnSi2, computed with SCAN.

a = 7.824 Å, b = 8.918 Å, c = 9.587 Å
α = 90.00°, β = 90.00°, γ = 90.00°
Site moments in Bohr magnetons follow the coordinates.
Fractional coordinates of all 48 atoms:
Si: 0.347 0.669 0.680  -0.06
Si: 0.500 0.108 0.099  -0.05
Sc: 0.754 0.672 0.953  -0.11
Si: 0.500 0.392 0.599  -0.05
Mn: 0.752 0.080 0.252  1.03
Si: 0.000 0.877 0.896  -0.06
Sc: 0.246 0.828 0.453  -0.11
Mn: 0.248 0.920 0.748  1.03
Si: 0.347 0.331 0.320  -0.06
Si: 0.000 0.123 0.104  -0.06
Si: 0.000 0.377 0.604  -0.06
Mn: 0.248 0.080 0.252  1.03
Mn: 0.756 0.500 0.500  2.25
Si: 0.347 0.169 0.820  -0.06
Sc: 0.754 0.328 0.047  -0.11
Sc: 0.000 0.670 0.678  -0.11
Mn: 0.752 0.920 0.748  1.03
Sc: 0.754 0.828 0.453  -0.11
Si: 0.653 0.331 0.320  -0.06
Si: 0.500 0.541 0.128  -0.05
Si: 0.500 0.041 0.372  -0.05
Si: 0.000 0.539 0.123  -0.04
Mn: 0.244 0.000 0.000  2.25
Si: 0.653 0.669 0.680  -0.06
Mn: 0.248 0.580 0.248  1.03
Si: 0.500 0.892 0.901  -0.05
Mn: 0.248 0.420 0.752  1.03
Mn: 0.752 0.420 0.752  1.03
Mn: 0.244 0.500 0.500  2.25
Si: 0.500 0.608 0.401  -0.05
Si: 0.000 0.623 0.396  -0.06
Sc: 0.000 0.830 0.178  -0.11
Si: 0.000 0.961 0.623  -0.04
Si: 0.653 0.169 0.820  -0.06
Si: 0.653 0.831 0.180  -0.06
Mn: 0.752 0.580 0.248  1.03
Si: 0.500 0.459 0.872  -0.05
Si: 0.000 0.461 0.877  -0.04
Si: 0.000 0.039 0.377  -0.04
Sc: 0.754 0.172 0.547  -0.11
Sc: 0.000 0.330 0.322  -0.11
Sc: 0.246 0.672 0.953  -0.11
Sc: 0.246 0.328 0.047  -0.11
Si: 0.500 0.959 0.628  -0.05
Sc: 0.000 0.170 0.822  -0.11
Mn: 0.756 0.000 0.000  2.25
Sc: 0.246 0.172 0.547  -0.11
Si: 0.347 0.831 0.180  -0.06

SG: No. 55
ΔE_f (raw): -643 meV per atom
raw total energy: -13.7739 eV/atom
theoretical density: 4.6 Mg/m³


A PBEsol-optimized structure of LaMoRu2, computed with SCAN.

a = 3.017 Å, b = 4.799 Å, c = 4.799 Å
α = 93.26°, β = 90.00°, γ = 90.00°
Fractional coordinates of all 4 atoms:
Ru: 0.000 0.000 0.500
La: 0.500 0.000 0.000
Mo: 0.500 0.500 0.500
Ru: 0.000 0.500 0.000

DFT formation energy: 0.42 eV/atom
SG: No. 65
raw total energy: -36.4914 eV/atom
theoretical density: 10.5 Mg/m³


A PBEsol-optimized structure of FeAg2Os, computed with SCAN.

a = 4.388 Å, b = 4.388 Å, c = 4.388 Å
α = 60.00°, β = 60.00°, γ = 60.00°
Site moments in Bohr magnetons follow the coordinates.
Fractional coordinates of all 4 atoms:
Fe: 0.000 0.000 0.000  3.33
Os: 0.500 0.500 0.500  1.13
Ag: 0.750 0.750 0.750  0.03
Ag: 0.250 0.250 0.250  0.03

DFT formation energy: 0.93 eV/atom
SG: No. 225
raw total energy: -37.2545 eV/atom
theoretical density: 12.8 Mg/m³


A PBEsol-optimized structure of BaCa2Ta, computed with SCAN.

a = 3.440 Å, b = 6.010 Å, c = 7.299 Å
α = 114.31°, β = 103.63°, γ = 90.00°
Site moments in Bohr magnetons follow the coordinates.
Fractional coordinates of all 4 atoms:
Ta: 0.500 0.000 0.000  0.94
Ca: 0.795 0.795 0.590  0.01
Ba: 0.000 0.500 0.000  0.08
Ca: 0.205 0.205 0.410  0.01

DFT formation energy: 0.86 eV/atom
SG: No. 71
raw total energy: -30.5029 eV/atom
theoretical density: 5.0 Mg/m³


A PBEsol-optimized structure of Li2CuAg, computed with SCAN.

a = 2.736 Å, b = 3.604 Å, c = 5.580 Å
α = 90.00°, β = 89.98°, γ = 90.00°
Fractional coordinates of all 4 atoms:
Li: 0.000 0.000 0.738
Ag: 0.500 0.500 0.000
Li: 0.000 0.000 0.262
Cu: 0.500 0.500 0.500

DFT formation energy: -0.06 eV/atom
SG: No. 47
raw total energy: -12.8938 eV/atom
theoretical density: 5.6 Mg/m³


A PBEsol-optimized structure of Ca3TbMn4O12, computed with SCAN.

a = 5.241 Å, b = 5.336 Å, c = 7.427 Å
α = 90.00°, β = 90.00°, γ = 90.18°
Site moments in Bohr magnetons follow the coordinates.
Fractional coordinates of all 20 atoms:
O: 0.207 0.792 0.289  0.06
Ca: 0.011 0.046 0.500  0.01
O: 0.577 0.984 0.500  0.07
Mn: 0.002 0.501 0.252  3.01
Mn: 0.499 0.997 0.748  3.01
O: 0.926 0.481 0.500  0.07
O: 0.296 0.294 0.717  0.05
Tb: 0.511 0.445 0.000  0.03
O: 0.785 0.217 0.204  0.04
Mn: 0.002 0.501 0.748  3.01
O: 0.083 0.516 0.000  0.04
O: 0.705 0.707 0.207  0.04
Mn: 0.499 0.997 0.252  3.01
Ca: 0.990 0.954 0.000  0.01
O: 0.425 0.017 0.000  0.04
O: 0.207 0.792 0.711  0.06
O: 0.296 0.294 0.283  0.05
O: 0.785 0.217 0.796  0.04
Ca: 0.491 0.544 0.500  0.01
O: 0.705 0.707 0.793  0.04

SG: No. 6
ΔE_f (raw): -2821 meV per atom
raw total energy: -13.9980 eV/atom
theoretical density: 5.5 Mg/m³


A PBEsol-optimized structure of Ir2OsBr, computed with SCAN.

a = 3.884 Å, b = 3.884 Å, c = 3.993 Å
α = 90.00°, β = 90.00°, γ = 90.00°
Fractional coordinates of all 4 atoms:
Br: 0.000 0.000 0.500
Ir: 0.000 0.500 0.000
Os: 0.500 0.500 0.500
Ir: 0.500 0.000 0.000

SG: No. 123
ΔE_f (raw): 1590 meV per atom
raw total energy: -56.7940 eV/atom
theoretical density: 18.0 Mg/m³


A PBEsol-optimized structure of CdH6CBr3N3, computed with SCAN.

a = 7.363 Å, b = 7.521 Å, c = 8.925 Å
α = 114.92°, β = 97.76°, γ = 71.31°
Fractional coordinates of all 28 atoms:
Br: 0.365 0.279 0.076
H: 0.533 0.298 0.639
N: 0.250 0.227 0.455
N: 0.912 0.630 0.298
H: 0.419 0.368 0.826
Cd: 0.250 0.951 0.902
H: 0.373 0.183 0.391
H: 0.967 0.341 0.639
Cd: 0.750 0.049 0.098
H: 0.127 0.208 0.391
H: 0.467 0.702 0.361
C: 0.250 0.310 0.620
H: 0.033 0.659 0.361
H: 0.627 0.817 0.609
Br: 0.750 0.208 0.417
Br: 0.250 0.792 0.583
N: 0.750 0.773 0.545
H: 0.081 0.458 0.826
N: 0.412 0.332 0.702
Br: 0.135 0.797 0.076
H: 0.919 0.542 0.174
H: 0.581 0.632 0.174
C: 0.750 0.690 0.380
N: 0.588 0.668 0.298
H: 0.873 0.792 0.609
Br: 0.635 0.721 0.924
N: 0.088 0.370 0.702
Br: 0.865 0.203 0.924

SG: No. 15
raw total energy: -11.0810 eV/atom
theoretical density: 3.2 Mg/m³


A PBEsol-optimized structure of YZnW2, computed with SCAN.

a = 4.615 Å, b = 4.615 Å, c = 4.615 Å
α = 60.00°, β = 60.00°, γ = 60.00°
Fractional coordinates of all 4 atoms:
Y: 0.500 0.500 0.500
Zn: 0.750 0.750 0.750
W: 0.000 0.000 0.000
W: 0.250 0.250 0.250

DFT formation energy: 0.39 eV/atom
SG: No. 216
raw total energy: -44.7905 eV/atom
theoretical density: 12.5 Mg/m³


A PBEsol-optimized structure of Ta3Os, computed with SCAN.

a = 3.182 Å, b = 4.517 Å, c = 5.364 Å
α = 114.90°, β = 107.25°, γ = 90.00°
Fractional coordinates of all 4 atoms:
Ta: 0.255 0.755 0.510
Ta: 0.500 0.500 0.000
Os: 0.000 0.000 0.000
Ta: 0.745 0.245 0.490

DFT formation energy: -0.36 eV/atom
SG: No. 71
raw total energy: -68.2678 eV/atom
theoretical density: 18.4 Mg/m³